[1]
Pr6Si2SbI3, relaxed, DFT PBE-GGA; SG = No. 12; M_tot = 0.000 μB per formula unit; DOS at the Fermi energy = 0.33 states/eV per atom; formation energy from raw total energies = -1.0135 eV per atom; calculated density = 5.88 g/cm³
1.0
10.056 -2.214 0.000
10.056 2.214 0.000
-2.682 0.000 8.902
Pr Si Sb I
6 2 1 3
Direct
0.020 0.020 0.245 Pr
0.322 0.322 0.442 Pr
0.334 0.334 0.867 Pr
0.666 0.666 0.133 Pr
0.678 0.678 0.558 Pr
0.980 0.980 0.755 Pr
0.169 0.169 0.340 Si
0.831 0.831 0.660 Si
0.500 0.500 0.000 Sb
0.164 0.164 0.835 I
0.500 0.500 0.500 I
0.836 0.836 0.165 I

[2]
PrSmSbI, relaxed, DFT PBE-GGA; SG = No. 216; M_tot = 0.015 μB per formula unit; DOS at the Fermi energy = 0.95 states/eV per atom; formation energy from raw total energies = -0.9559 eV per atom; calculated density = 7.58 g/cm³
1.0
0.000 3.897 3.897
3.897 0.000 3.897
3.897 3.897 0.000
Pr Sm Sb I
1 1 1 1
Direct
0.000 0.000 0.000 Pr
0.500 0.500 0.500 Sm
0.750 0.750 0.750 Sb
0.250 0.250 0.250 I

[3]
SrPrSbI, relaxed, DFT PBE-GGA; SG = No. 166; M_tot = 0.364 μB per formula unit; DOS at the Fermi energy = 0.48 states/eV per atom; formation energy from raw total energies = -1.1497 eV per atom; calculated density = 4.63 g/cm³
1.0
2.483 1.433 16.015
-2.483 1.433 16.015
0.000 -2.867 16.015
Sr Pr Sb I
2 2 2 2
Direct
0.091 0.091 0.091 Sr
0.909 0.909 0.909 Sr
0.310 0.310 0.310 Pr
0.690 0.690 0.690 Pr
0.383 0.383 0.383 Sb
0.617 0.617 0.617 Sb
0.207 0.207 0.207 I
0.793 0.793 0.793 I

[4]
Pr4SbTe2I, relaxed, DFT PBE-GGA; SG = No. 10; M_tot = 0.000 μB per formula unit; DOS at the Fermi energy = 0.48 states/eV per atom; formation energy from raw total energies = -1.2491 eV per atom; calculated density = 6.58 g/cm³
1.0
7.865 0.000 0.000
0.000 4.585 0.000
-2.672 0.000 7.470
Pr Sb Te I
4 1 2 1
Direct
0.230 0.000 0.222 Pr
0.246 0.500 0.769 Pr
0.754 0.500 0.231 Pr
0.770 0.000 0.778 Pr
0.500 0.000 0.000 Sb
0.000 0.000 0.500 Te
0.000 0.500 0.000 Te
0.500 0.500 0.500 I

[5]
PrScI, relaxed, DFT PBE-GGA; SG = No. 187; M_tot = 0.001 μB per formula unit; DOS at the Fermi energy = 1.42 states/eV per atom; formation energy from raw total energies = -0.1845 eV per atom; calculated density = 5.83 g/cm³
1.0
5.207 0.000 0.000
-2.604 4.510 0.000
0.000 0.000 3.790
Pr Sc I
1 1 1
Direct
0.000 0.000 0.000 Pr
0.667 0.333 0.500 Sc
0.333 0.667 0.500 I

[6]
PrSc2I8, relaxed, DFT PBE-GGA; SG = No. 12; M_tot = 1.037 μB per formula unit; DOS at the Fermi energy = 0.05 states/eV per atom; formation energy from raw total energies = -1.1767 eV per atom; calculated density = 3.49 g/cm³
1.0
7.569 -5.365 0.000
7.569 5.365 0.000
-0.271 0.000 7.307
Pr Sc I
1 2 8
Direct
0.000 0.000 0.000 Pr
0.178 0.178 0.641 Sc
0.822 0.822 0.359 Sc
0.122 0.703 0.242 I
0.178 0.178 0.257 I
0.297 0.878 0.758 I
0.348 0.348 0.754 I
0.652 0.652 0.246 I
0.703 0.122 0.242 I
0.822 0.822 0.743 I
0.878 0.297 0.758 I

[7]
Pr2Se2I, relaxed, DFT PBE-GGA; SG = No. 15; M_tot = 0.000 μB per formula unit; DOS at the Fermi energy = 0.52 states/eV per atom; formation energy from raw total energies = -1.5444 eV per atom; calculated density = 5.73 g/cm³
1.0
8.253 -2.655 0.000
8.253 2.655 0.000
-0.645 0.000 7.491
Pr Se I
4 4 2
Direct
0.118 0.208 0.013 Pr
0.208 0.118 0.513 Pr
0.792 0.882 0.487 Pr
0.882 0.792 0.987 Pr
0.255 0.368 0.304 Se
0.368 0.255 0.804 Se
0.632 0.745 0.196 Se
0.745 0.632 0.696 Se
0.130 0.870 0.750 I
0.870 0.130 0.250 I

[8]
Pr2SeI, relaxed, DFT PBE-GGA; SG = No. 160; M_tot = 0.000 μB per formula unit; DOS at the Fermi energy = 0.84 states/eV per atom; formation energy from raw total energies = -1.3606 eV per atom; calculated density = 6.61 g/cm³
1.0
2.073 1.197 8.224
-2.073 1.197 8.224
0.000 -2.394 8.224
Pr Se I
2 1 1
Direct
0.000 0.000 0.000 Pr
0.195 0.195 0.195 Pr
0.597 0.597 0.597 Se
0.430 0.430 0.430 I

[9]
Pr4Se5I, relaxed, DFT PBE-GGA; SG = No. 59; M_tot = 0.975 μB per formula unit; DOS at the Fermi energy = 0.01 states/eV per atom; formation energy from raw total energies = -1.5759 eV per atom; calculated density = 5.13 g/cm³
1.0
8.829 0.000 0.000
0.000 10.780 0.000
0.000 0.000 7.382
Pr Se I
8 10 2
Direct
0.020 0.250 0.012 Pr
0.250 0.526 0.534 Pr
0.250 0.974 0.534 Pr
0.480 0.250 0.012 Pr
0.520 0.750 0.988 Pr
0.750 0.026 0.466 Pr
0.750 0.474 0.466 Pr
0.980 0.750 0.988 Pr
0.013 0.552 0.245 Se
0.013 0.948 0.245 Se
0.250 0.750 0.751 Se
0.487 0.552 0.245 Se
0.487 0.948 0.245 Se
0.513 0.052 0.755 Se
0.513 0.448 0.755 Se
0.750 0.250 0.249 Se
0.987 0.052 0.755 Se
0.987 0.448 0.755 Se
0.250 0.250 0.358 I
0.750 0.750 0.642 I

[10]
PrSeI, relaxed, DFT PBE-GGA; SG = No. 12; M_tot = 0.000 μB per formula unit; DOS at the Fermi energy = 0.00 states/eV per atom; formation energy from raw total energies = -1.6253 eV per atom; calculated density = 4.45 g/cm³
1.0
8.060 -2.244 0.000
8.060 2.244 0.000
-3.258 0.000 7.161
Pr Se I
2 2 2
Direct
0.246 0.246 0.275 Pr
0.754 0.754 0.725 Pr
0.354 0.354 0.674 Se
0.646 0.646 0.326 Se
0.125 0.125 0.814 I
0.875 0.875 0.186 I

[11]
Pr2SeI3, relaxed, DFT PBE-GGA; SG = No. 12; M_tot = 0.000 μB per formula unit; DOS at the Fermi energy = 0.60 states/eV per atom; formation energy from raw total energies = -1.4587 eV per atom; calculated density = 5.21 g/cm³
1.0
9.194 -2.289 0.000
9.194 2.289 0.000
-5.984 0.000 11.222
Pr Se I
4 2 6
Direct
0.098 0.098 0.445 Pr
0.350 0.350 0.185 Pr
0.650 0.650 0.815 Pr
0.902 0.902 0.555 Pr
0.081 0.081 0.661 Se
0.919 0.919 0.339 Se
0.154 0.154 0.010 I
0.267 0.267 0.382 I
0.452 0.452 0.763 I
0.548 0.548 0.237 I
0.733 0.733 0.618 I
0.846 0.846 0.990 I

[12]
Pr2SeI, relaxed, DFT PBE-GGA; SG = No. 156; M_tot = 1.194 μB per formula unit; DOS at the Fermi energy = 0.67 states/eV per atom; formation energy from raw total energies = -1.0231 eV per atom; calculated density = 5.47 g/cm³
1.0
4.128 0.000 0.000
-2.064 3.575 0.000
0.000 0.000 10.029
Pr Se I
2 1 1
Direct
0.000 0.000 0.000 Pr
0.333 0.667 0.547 Pr
0.000 0.000 0.715 Se
0.333 0.667 0.226 I

[13]
PrSeI, relaxed, DFT PBE-GGA; SG = No. 11; M_tot = 0.000 μB per formula unit; DOS at the Fermi energy = 0.00 states/eV per atom; formation energy from raw total energies = -1.6866 eV per atom; calculated density = 4.14 g/cm³
1.0
4.479 0.000 0.000
0.000 5.832 0.000
-1.479 0.000 10.660
Pr Se I
2 2 2
Direct
0.210 0.250 0.381 Pr
0.790 0.750 0.619 Pr
0.228 0.750 0.433 Se
0.772 0.250 0.567 Se
0.359 0.750 0.830 I
0.641 0.250 0.170 I

[14]
Pr2SeI4, relaxed, DFT PBE-GGA; SG = No. 136; M_tot = 0.000 μB per formula unit; formation energy from raw total energies = -1.4790 eV per atom; calculated density = 3.79 g/cm³
1.0
13.652 0.000 0.000
0.000 13.652 0.000
0.000 0.000 4.078
Pr Se I
4 2 8
Direct
0.114 0.114 0.000 Pr
0.386 0.614 0.500 Pr
0.614 0.386 0.500 Pr
0.886 0.886 0.000 Pr
0.000 0.000 0.500 Se
0.500 0.500 0.000 Se
0.070 0.285 0.500 I
0.215 0.570 0.000 I
0.285 0.070 0.500 I
0.430 0.785 0.000 I
0.570 0.215 0.000 I
0.715 0.930 0.500 I
0.785 0.430 0.000 I
0.930 0.715 0.500 I

[15]
Pr3Se3I, relaxed, DFT PBE-GGA; SG = No. 148; M_tot = 0.000 μB per formula unit; DOS at the Fermi energy = 0.33 states/eV per atom; formation energy from raw total energies = -1.6381 eV per atom; calculated density = 5.97 g/cm³
1.0
4.593 2.652 5.983
-4.593 2.652 5.983
0.000 -5.304 5.983
Pr Se I
6 6 2
Direct
0.084 0.725 0.435 Pr
0.275 0.565 0.916 Pr
0.435 0.084 0.725 Pr
0.565 0.916 0.275 Pr
0.725 0.435 0.084 Pr
0.916 0.275 0.565 Pr
0.090 0.384 0.789 Se
0.211 0.910 0.616 Se
0.384 0.789 0.090 Se
0.616 0.211 0.910 Se
0.789 0.090 0.384 Se
0.910 0.616 0.211 Se
0.329 0.329 0.329 I
0.671 0.671 0.671 I

[16]
Pr2SeI, relaxed, DFT PBE-GGA; SG = No. 166; M_tot = 0.000 μB per formula unit; DOS at the Fermi energy = 0.50 states/eV per atom; formation energy from raw total energies = -1.3595 eV per atom; calculated density = 6.44 g/cm³
1.0
2.203 1.272 7.477
-2.203 1.272 7.477
0.000 -2.544 7.477
Pr Se I
2 1 1
Direct
0.230 0.230 0.230 Pr
0.770 0.770 0.770 Pr
0.500 0.500 0.500 Se
0.000 0.000 0.000 I

[17]
Pr2Se2I, relaxed, DFT PBE-GGA; SG = No. 71; M_tot = 0.000 μB per formula unit; DOS at the Fermi energy = 0.45 states/eV per atom; formation energy from raw total energies = -1.6470 eV per atom; calculated density = 5.23 g/cm³
1.0
-2.241 2.955 6.788
2.241 -2.955 6.788
2.241 2.955 -6.788
Pr Se I
2 2 1
Direct
0.186 0.186 0.000 Pr
0.814 0.814 0.000 Pr
0.325 0.825 0.500 Se
0.675 0.175 0.500 Se
0.000 0.500 0.500 I

[18]
Pr3Se2I2, relaxed, DFT PBE-GGA; SG = No. 2; M_tot = 0.000 μB per formula unit; DOS at the Fermi energy = 0.42 states/eV per atom; formation energy from raw total energies = -1.5758 eV per atom; calculated density = 5.89 g/cm³
1.0
4.233 0.000 0.000
2.115 7.104 0.000
0.001 1.249 7.825
Pr Se I
3 2 2
Direct
0.000 0.000 0.000 Pr
0.250 0.502 0.800 Pr
0.750 0.498 0.200 Pr
0.383 0.232 0.134 Se
0.617 0.768 0.866 Se
0.124 0.752 0.388 I
0.876 0.248 0.612 I

[19]
Pr3SeI7, relaxed, DFT PBE-GGA; SG = No. 156; M_tot = 0.000 μB per formula unit; DOS at the Fermi energy = 0.00 states/eV per atom; formation energy from raw total energies = -1.4706 eV per atom; calculated density = 4.21 g/cm³
1.0
9.086 0.000 0.000
-4.543 7.869 0.000
0.000 0.000 7.677
Pr Se I
3 1 7
Direct
0.175 0.349 0.000 Pr
0.175 0.825 0.000 Pr
0.651 0.825 0.000 Pr
0.333 0.667 0.187 Se
0.000 0.000 0.755 I
0.004 0.502 0.755 I
0.326 0.163 0.224 I
0.498 0.502 0.755 I
0.498 0.996 0.755 I
0.837 0.163 0.224 I
0.837 0.674 0.224 I

[20]
PrSeI, relaxed, DFT PBE-GGA; SG = No. 11; M_tot = 0.000 μB per formula unit; DOS at the Fermi energy = 0.00 states/eV per atom; formation energy from raw total energies = -1.6741 eV per atom; calculated density = 5.53 g/cm³
1.0
5.813 0.000 0.000
0.000 4.769 0.000
-2.697 0.000 7.512
Pr Se I
2 2 2
Direct
0.165 0.250 0.321 Pr
0.835 0.750 0.679 Pr
0.271 0.750 0.556 Se
0.729 0.250 0.444 Se
0.281 0.750 0.067 I
0.719 0.250 0.933 I